# 1
PBE Ac2Zn5Cu, optimized geometry; formation enthalpy at 0 K = -0.256 eV per atom; total energy = -2.591 eV/atom; theoretical density = 7.89 g cm⁻³
1.0
-0.095 3.108 -3.326
-6.483 2.278 5.430
5.863 5.295 4.779
Zn Cu Ac
10 2 4
direct
0.350 0.700 0.517
0.184 0.367 0.890
0.650 0.300 0.017
0.816 0.633 0.390
0.350 0.700 0.983
0.408 0.816 0.250
0.650 0.300 0.483
0.184 0.367 0.610
0.816 0.633 0.110
0.592 0.184 0.750
0.559 0.118 0.250
0.441 0.882 0.750
0.000 0.000 0.500
0.798 0.596 0.750
0.000 0.000 0.000
0.202 0.404 0.250


# 2
PBE AcZnCu3, optimized geometry; formation enthalpy at 0 K = -0.101 eV per atom; total energy = -3.635 eV/atom; theoretical density = 8.44 g cm⁻³
1.0
-0.231 4.316 0.738
-5.656 0.869 -6.848
-7.500 -1.429 6.012
Cu Ac Zn
12 4 4
direct
0.750 0.412 0.850
0.250 0.349 0.267
0.750 0.651 0.733
0.750 0.665 0.282
0.250 0.335 0.718
0.250 0.088 0.350
0.750 0.912 0.650
0.250 0.835 0.782
0.750 0.165 0.218
0.250 0.588 0.150
0.250 0.849 0.233
0.750 0.151 0.767
0.750 0.314 0.493
0.250 0.686 0.507
0.750 0.814 0.007
0.250 0.186 0.993
0.250 0.564 0.873
0.250 0.064 0.627
0.750 0.436 0.127
0.750 0.936 0.373


# 3
PBE AcZn3Cu, optimized geometry; formation enthalpy at 0 K = -0.179 eV per atom; total energy = -2.584 eV/atom; theoretical density = 7.88 g cm⁻³
1.0
5.536 0.000 0.000
0.000 6.542 0.000
0.000 -3.271 5.665
Ac Zn Cu
2 6 2
direct
0.250 0.333 0.667
0.750 0.667 0.333
0.250 0.813 0.187
0.750 0.187 0.374
0.750 0.187 0.813
0.250 0.374 0.187
0.750 0.626 0.813
0.250 0.813 0.626
0.000 0.000 0.000
0.500 0.000 0.000


# 4
PBE Ac3Zn12Cu5, optimized geometry; formation enthalpy at 0 K = 0.136 eV per atom; total energy = -2.269 eV/atom; theoretical density = 6.39 g cm⁻³
1.0
-0.457 -12.177 -5.592
-1.478 -1.121 13.279
-9.882 7.575 -4.973
Zn Cu Ac
48 20 12
direct
0.642 0.982 0.439
0.061 0.858 0.018
0.703 0.544 0.561
0.703 0.159 0.642
0.956 0.439 0.797
0.439 0.956 0.297
0.142 0.203 0.159
0.341 0.358 0.797
0.044 0.482 0.341
0.561 0.044 0.703
0.482 0.439 0.142
0.439 0.482 0.642
0.956 0.518 0.659
0.659 0.018 0.956
0.982 0.341 0.544
0.518 0.561 0.858
0.358 0.341 0.297
0.159 0.456 0.518
0.544 0.841 0.982
0.797 0.858 0.341
0.642 0.659 0.703
0.841 0.544 0.482
0.841 0.297 0.858
0.456 0.159 0.018
0.203 0.142 0.659
0.797 0.939 0.956
0.482 0.044 0.841
0.159 0.703 0.142
0.982 0.642 0.939
0.456 0.297 0.939
0.061 0.203 0.544
0.858 0.061 0.518
0.018 0.659 0.456
0.939 0.142 0.982
0.297 0.456 0.439
0.203 0.061 0.044
0.659 0.642 0.203
0.561 0.518 0.358
0.018 0.358 0.061
0.358 0.018 0.561
0.142 0.939 0.482
0.544 0.703 0.061
0.858 0.797 0.841
0.939 0.797 0.456
0.297 0.841 0.358
0.044 0.561 0.203
0.518 0.956 0.159
0.341 0.982 0.044
0.875 0.625 0.750
0.500 0.000 0.500
0.625 0.750 0.875
0.500 0.000 0.000
0.000 0.500 0.000
0.375 0.125 0.750
0.000 0.000 0.000
0.500 0.500 0.500
0.125 0.750 0.375
0.375 0.250 0.125
0.125 0.375 0.250
0.750 0.125 0.875
0.000 0.500 0.500
0.750 0.625 0.375
0.625 0.875 0.250
0.250 0.375 0.625
0.875 0.250 0.625
0.500 0.500 0.000
0.000 0.000 0.500
0.250 0.875 0.125
0.250 0.625 0.875
0.125 0.250 0.875
0.125 0.875 0.750
0.750 0.375 0.125
0.250 0.125 0.375
0.875 0.750 0.125
0.625 0.375 0.750
0.375 0.750 0.625
0.625 0.250 0.375
0.375 0.625 0.250
0.750 0.875 0.625
0.875 0.125 0.250


# 5
PBE AcZn3Cu3, optimized geometry; formation enthalpy at 0 K = -0.001 eV per atom; total energy = -2.889 eV/atom; theoretical density = 7.86 g cm⁻³
1.0
-0.088 -3.882 1.385
-1.522 -2.783 -7.898
8.039 0.805 2.768
Zn Cu Ac
6 6 2
direct
0.750 0.264 0.225
0.250 0.223 0.959
0.750 0.960 0.736
0.250 0.736 0.775
0.750 0.777 0.041
0.250 0.040 0.264
0.250 0.045 0.614
0.250 0.387 0.432
0.750 0.955 0.386
0.250 0.570 0.955
0.750 0.613 0.568
0.750 0.430 0.045
0.750 0.334 0.668
0.250 0.666 0.332


# 6
PBE Ac2Zn9Cu6, optimized geometry; formation enthalpy at 0 K = -0.090 eV per atom; total energy = -2.693 eV/atom; theoretical density = 7.45 g cm⁻³
1.0
-1.674 4.538 -2.508
-0.241 -4.789 -2.587
-11.409 -1.790 4.377
Cu Ac Zn
6 2 9
direct
0.667 0.333 0.000
0.333 0.667 0.672
0.667 0.333 0.672
0.333 0.667 0.000
0.667 0.333 0.328
0.333 0.667 0.328
0.000 0.000 0.672
0.000 0.000 0.328
0.500 0.000 0.841
0.500 0.000 0.159
0.000 0.500 0.500
0.500 0.500 0.159
0.500 0.000 0.500
0.000 0.500 0.159
0.000 0.500 0.841
0.500 0.500 0.841
0.500 0.500 0.500


# 7
PBE Ac2Zn3Cu2, optimized geometry; formation enthalpy at 0 K = -0.204 eV per atom; total energy = -3.094 eV/atom; theoretical density = 8.09 g cm⁻³
1.0
4.391 0.000 0.000
-2.196 5.193 -1.599
0.000 -0.239 7.074
Cu Zn Ac
2 3 2
direct
0.897 0.793 0.811
0.103 0.207 0.189
0.500 0.000 0.000
0.575 0.150 0.384
0.425 0.850 0.616
0.169 0.338 0.750
0.831 0.662 0.250


# 8
PBE AcZn10Cu2, optimized geometry; formation enthalpy at 0 K = -0.160 eV per atom; total energy = -2.086 eV/atom; theoretical density = 7.84 g cm⁻³
1.0
4.652 0.000 1.897
2.326 6.519 0.948
-0.136 0.000 6.987
Zn Cu Ac
10 2 1
direct
0.644 0.364 0.348
0.268 0.239 0.225
0.992 0.364 0.652
0.732 0.761 0.775
0.000 0.000 0.500
0.493 0.239 0.775
0.507 0.761 0.225
0.356 0.636 0.652
0.500 0.000 0.500
0.008 0.636 0.348
0.500 0.500 0.000
0.000 0.500 0.000
0.000 0.000 0.000


# 9
PBE AcZn3Cu, optimized geometry; formation enthalpy at 0 K = -0.143 eV per atom; total energy = -2.548 eV/atom; theoretical density = 7.57 g cm⁻³
1.0
4.744 0.000 0.000
0.000 4.744 0.000
0.000 0.000 4.744
Zn Ac Cu
3 1 1
direct
0.500 0.000 0.000
0.000 0.500 0.000
0.000 0.000 0.500
0.500 0.500 0.500
0.000 0.000 0.000


# 10
PBE Ac3Zn4Cu4, optimized geometry; formation enthalpy at 0 K = -0.240 eV per atom; total energy = -3.313 eV/atom; theoretical density = 8.17 g cm⁻³
1.0
4.177 -0.005 0.002
-0.006 4.356 0.007
2.076 2.176 13.378
Zn Ac Cu
4 3 4
direct
0.600 0.101 0.802
0.749 0.751 0.501
0.400 0.899 0.198
0.251 0.249 0.499
0.151 0.653 0.699
0.849 0.347 0.301
0.000 0.000 0.000
0.548 0.549 0.904
0.697 0.198 0.608
0.452 0.451 0.096
0.303 0.802 0.392


# 11
PBE AcZn11Cu, optimized geometry; formation enthalpy at 0 K = -0.163 eV per atom; total energy = -1.872 eV/atom; theoretical density = 7.70 g cm⁻³
1.0
-1.412 4.705 -1.799
-5.593 2.441 3.308
3.112 5.172 3.477
Zn Cu Ac
11 1 1
direct
0.986 0.361 0.645
0.014 0.639 0.355
0.369 0.639 0.645
0.501 0.235 0.771
0.499 0.765 0.229
0.631 0.361 0.355
0.000 0.000 0.500
0.727 0.765 0.771
0.500 0.000 0.500
0.000 0.500 0.000
0.273 0.235 0.229
0.500 0.500 0.000
0.000 0.000 0.000


# 12
PBE Ac2Zn15Cu2, optimized geometry; formation enthalpy at 0 K = -0.209 eV per atom; total energy = -2.078 eV/atom; theoretical density = 7.87 g cm⁻³
1.0
-6.206 -0.065 -3.149
-3.746 -2.108 5.473
-2.119 6.289 2.094
Cu Zn Ac
2 15 2
direct
0.098 0.098 0.098
0.902 0.902 0.902
0.657 0.155 0.657
0.000 0.721 0.279
0.000 0.500 0.000
0.657 0.657 0.155
0.155 0.657 0.657
0.500 0.000 0.000
0.000 0.279 0.721
0.000 0.000 0.500
0.279 0.721 0.000
0.343 0.845 0.343
0.721 0.279 0.000
0.845 0.343 0.343
0.721 0.000 0.279
0.279 0.000 0.721
0.343 0.343 0.845
0.661 0.661 0.661
0.339 0.339 0.339


# 13
PBE Ac4ZnCu, optimized geometry; formation enthalpy at 0 K = -0.096 eV per atom; total energy = -3.730 eV/atom; theoretical density = 8.36 g cm⁻³
1.0
3.902 -0.001 0.000
0.001 3.902 0.000
-0.001 -0.001 13.526
Cu Zn Ac
1 1 4
direct
0.500 0.500 0.500
0.000 0.000 0.000
0.000 0.000 0.366
0.500 0.500 0.142
0.000 0.000 0.634
0.500 0.500 0.858


# 14
PBE AcZn2Cu3, optimized geometry; formation enthalpy at 0 K = -0.216 eV per atom; total energy = -3.374 eV/atom; theoretical density = 8.38 g cm⁻³
1.0
5.175 0.000 0.000
0.000 6.537 0.045
0.000 -1.269 6.413
Zn Cu Ac
4 6 2
direct
0.000 0.787 0.213
0.500 0.787 0.213
0.000 0.213 0.787
0.500 0.213 0.787
0.750 0.074 0.074
0.750 0.086 0.456
0.250 0.544 0.914
0.250 0.926 0.926
0.750 0.456 0.086
0.250 0.914 0.544
0.250 0.311 0.311
0.750 0.689 0.689


# 15
PBE AcZn2Cu, optimized geometry; formation enthalpy at 0 K = -0.241 eV per atom; total energy = -2.929 eV/atom; theoretical density = 8.22 g cm⁻³
1.0
4.302 0.000 0.000
-2.151 5.331 0.000
0.000 0.000 7.420
Ac Zn Cu
2 4 2
direct
0.941 0.883 0.250
0.059 0.117 0.750
0.662 0.324 0.439
0.662 0.324 0.061
0.338 0.676 0.939
0.338 0.676 0.561
0.225 0.449 0.250
0.775 0.551 0.750


# 16
PBE Ac3Zn2Cu4, optimized geometry; formation enthalpy at 0 K = -0.233 eV per atom; total energy = -3.706 eV/atom; theoretical density = 8.30 g cm⁻³
1.0
-3.786 1.586 -1.747
0.240 -6.072 -0.336
-3.021 1.671 8.064
Ac Zn Cu
3 2 4
direct
0.000 0.000 0.000
0.662 0.324 0.671
0.338 0.676 0.329
0.383 0.767 0.718
0.617 0.233 0.282
0.940 0.880 0.607
0.060 0.120 0.393
0.722 0.444 0.054
0.278 0.556 0.946


# 17
PBE Ac2Zn3Cu4, optimized geometry; formation enthalpy at 0 K = -0.124 eV per atom; total energy = -3.282 eV/atom; theoretical density = 8.46 g cm⁻³
1.0
-5.364 -1.745 -1.029
1.987 -1.846 -7.232
4.623 -6.521 2.935
Cu Zn Ac
8 6 4
direct
0.185 0.984 0.370
0.685 0.516 0.370
0.808 0.250 0.117
0.308 0.250 0.117
0.192 0.750 0.883
0.815 0.016 0.630
0.692 0.750 0.883
0.315 0.484 0.630
0.471 0.250 0.441
0.971 0.250 0.441
0.500 0.500 0.000
0.529 0.750 0.559
0.029 0.750 0.559
0.000 0.000 0.000
0.886 0.416 0.772
0.386 0.084 0.772
0.614 0.916 0.228
0.114 0.584 0.228